[1]
The following is a PBE calculation of FeAgC3 after structural relaxation, from Alexandria via LeMat-Bulk.

Output
Formation enthalpy at 0 K, meV/atom: 3637.7
E above lowest polymorph, kcal/mol of atoms: 37.54
Magnetic moment, μB per formula unit: 0.0

a b c (Å): 4.030 4.030 4.030
angles (deg): 90.00 90.00 90.00
Fractional positions:
Fe 0.000 0.000 0.000
Ag 0.500 0.500 0.500
C 0.000 0.500 0.500
C 0.500 0.000 0.500
C 0.500 0.500 0.000

=====

[2]
The following is a PBE calculation of U2BeIr3 after structural relaxation, from Alexandria via LeMat-Bulk.

Output
Formation enthalpy at 0 K, meV/atom: -633.5
Magnetic moment, μB per formula unit: 2.8

a b c (Å): 4.915 4.915 4.915
angles (deg): 68.51 68.51 68.51
Fractional positions:
U 0.118 0.118 0.118
U 0.882 0.882 0.882
Be 0.500 0.500 0.500
Ir 0.000 0.500 0.500
Ir 0.500 0.000 0.500
Ir 0.500 0.500 0.000

=====

[3]
The following is a PBE calculation of Mg6VFe after structural relaxation, from Alexandria via LeMat-Bulk.

Output
Formation enthalpy at 0 K, meV/atom: 225.1
E above lowest polymorph, kcal/mol of atoms: 0.00
Magnetic moment, μB per formula unit: 0.2

a b c (Å): 4.743 6.201 6.201
angles (deg): 57.87 90.00 90.00
Fractional positions:
Mg 0.000 0.000 0.000
Mg 0.000 0.011 0.494
Mg 0.000 0.494 0.011
Mg 0.500 0.350 0.833
Mg 0.500 0.833 0.350
Mg 0.500 0.839 0.839
V 0.500 0.362 0.362
Fe 0.000 0.476 0.476

=====

[4]
The following is a PBE calculation of Mg3CdIn3Ni2 after structural relaxation, from Alexandria via LeMat-Bulk.

Output
Formation enthalpy at 0 K, meV/atom: -38.7
Magnetic moment, μB per formula unit: 0.0

a b c (Å): 7.841 7.841 3.187
angles (deg): 90.00 90.00 120.00
Fractional positions:
Mg 0.000 0.695 0.000
Mg 0.305 0.305 0.000
Mg 0.695 0.000 0.000
Cd 0.000 0.000 0.500
In 0.000 0.381 0.500
In 0.381 0.000 0.500
In 0.619 0.619 0.500
Ni 0.333 0.667 0.000
Ni 0.667 0.333 0.000

=====

[5]
The following is a PBE calculation of Hf2ZrTl after structural relaxation, from Alexandria via LeMat-Bulk.

Output
Formation enthalpy at 0 K, meV/atom: 168.8
E above lowest polymorph, kcal/mol of atoms: 4.42
Magnetic moment, μB per formula unit: 0.9

a b c (Å): 5.004 5.004 5.004
angles (deg): 60.00 60.00 60.00
Fractional positions:
Hf 0.250 0.250 0.250
Hf 0.750 0.750 0.750
Zr 0.000 0.000 0.000
Tl 0.500 0.500 0.500

=====

[6]
The following is a PBE calculation of SrLi2Ni2 after structural relaxation, from Alexandria via LeMat-Bulk.

Output
Formation enthalpy at 0 K, meV/atom: 91.1
E above lowest polymorph, kcal/mol of atoms: 0.00
Magnetic moment, μB per formula unit: 0.0

a b c (Å): 6.105 6.105 6.105
angles (deg): 140.09 140.09 57.72
Fractional positions:
Sr 0.000 0.000 0.000
Li 0.250 0.750 0.500
Li 0.750 0.250 0.500
Ni 0.393 0.393 0.000
Ni 0.607 0.607 0.000

=====

[7]
The following is a PBE calculation of TbZr2Zn after structural relaxation, from Alexandria via LeMat-Bulk.

Output
Formation enthalpy at 0 K, meV/atom: -20.6
E above lowest polymorph, kcal/mol of atoms: 0.55
Magnetic moment, μB per formula unit: 0.0

a b c (Å): 4.458 4.458 4.491
angles (deg): 90.00 90.00 90.00
Fractional positions:
Tb 0.000 0.000 0.000
Zr 0.000 0.500 0.500
Zr 0.500 0.000 0.500
Zn 0.500 0.500 0.000

=====

[8]
The following is a PBE calculation of La2TbSmSb4 after structural relaxation, from Alexandria via LeMat-Bulk.

Output
Magnetic moment, μB per formula unit: 0.0
Formation energy from raw total energies, meV/atom: -1217

a b c (Å): 7.843 4.537 7.853
angles (deg): 90.00 109.50 90.00
Fractional positions:
La 0.000 0.000 0.000
La 0.000 0.500 0.500
Tb 0.500 0.000 0.500
Sm 0.500 0.500 0.000
Sb 0.259 0.000 0.751
Sb 0.261 0.500 0.255
Sb 0.739 0.500 0.745
Sb 0.741 0.000 0.249

=====

[9]
The following is a PBE calculation of CsPa2Ag2Te6 after structural relaxation, from Alexandria via LeMat-Bulk.

Output
Magnetic moment, μB per formula unit: 1.1
Formation energy from raw total energies, meV/atom: -616

a b c (Å): 8.156 8.220 8.504
angles (deg): 64.98 65.36 61.38
Fractional positions:
Cs 0.000 0.000 0.000
Pa 0.340 0.333 0.988
Pa 0.660 0.667 0.012
Ag 0.312 0.577 0.436
Ag 0.688 0.423 0.564
Te 0.057 0.487 0.762
Te 0.343 0.933 0.243
Te 0.458 0.684 0.764
Te 0.542 0.316 0.236
Te 0.657 0.067 0.757
Te 0.943 0.513 0.238

=====

[10]
The following is a PBE calculation of Ce2GaB2Ir5 after structural relaxation, from Alexandria via LeMat-Bulk.

Output
Formation enthalpy at 0 K, meV/atom: -617.5
Magnetic moment, μB per formula unit: 0.6

a b c (Å): 9.529 9.529 3.340
angles (deg): 90.00 90.00 90.00
Fractional positions:
Ce 0.178 0.322 0.000
Ce 0.322 0.822 0.000
Ce 0.678 0.178 0.000
Ce 0.822 0.678 0.000
Ga 0.000 0.000 0.000
Ga 0.500 0.500 0.000
B 0.121 0.621 0.000
B 0.379 0.121 0.000
B 0.621 0.879 0.000
B 0.879 0.379 0.000
Ir 0.000 0.500 0.500
Ir 0.069 0.780 0.500
Ir 0.220 0.069 0.500
Ir 0.280 0.569 0.500
Ir 0.431 0.280 0.500
Ir 0.500 0.000 0.500
Ir 0.569 0.720 0.500
Ir 0.720 0.431 0.500
Ir 0.780 0.931 0.500
Ir 0.931 0.220 0.500

=====

[11]
The following is a PBE calculation of MgScMo after structural relaxation, from Alexandria via LeMat-Bulk.

Output
Formation enthalpy at 0 K, meV/atom: 322.3
E above lowest polymorph, kcal/mol of atoms: 8.63
Magnetic moment, μB per formula unit: 0.0

a b c (Å): 5.530 5.530 5.530
angles (deg): 143.98 143.98 51.85
Fractional positions:
Mg 0.000 0.000 0.000
Sc 0.697 0.697 0.000
Mo 0.345 0.345 0.000

=====

[12]
The following is a PBE calculation of CaY2ScS4 after structural relaxation, from Alexandria via LeMat-Bulk.

Output
Magnetic moment, μB per formula unit: 0.0
Formation energy from raw total energies, meV/atom: -1971

a b c (Å): 6.729 3.872 6.733
angles (deg): 90.00 109.18 90.00
Fractional positions:
Ca 0.000 0.000 0.000
Y 0.500 0.000 0.500
Y 0.500 0.500 0.000
Sc 0.000 0.500 0.500
S 0.240 0.000 0.740
S 0.246 0.500 0.256
S 0.754 0.500 0.744
S 0.760 0.000 0.260

=====

[13]
The following is a PBE calculation of Nd8Sn2Os after structural relaxation, from Alexandria via LeMat-Bulk.

Output
Formation enthalpy at 0 K, meV/atom: -313.6
Magnetic moment, μB per formula unit: 0.0

a b c (Å): 10.203 10.203 6.943
angles (deg): 107.08 107.08 29.45
Fractional positions:
Nd 0.015 0.015 0.287
Nd 0.217 0.217 0.813
Nd 0.354 0.354 0.513
Nd 0.411 0.411 0.050
Nd 0.589 0.589 0.950
Nd 0.646 0.646 0.487
Nd 0.783 0.783 0.187
Nd 0.985 0.985 0.713
Sn 0.178 0.178 0.237
Sn 0.822 0.822 0.763
Os 0.500 0.500 0.500

=====

[14]
The following is a PBE calculation of Er8Tm6Sc after structural relaxation, from Alexandria via LeMat-Bulk.

Output
Formation enthalpy at 0 K, meV/atom: 270.1
E above lowest polymorph, kcal/mol of atoms: 3.35
Magnetic moment, μB per formula unit: 0.0

a b c (Å): 9.160 9.160 6.503
angles (deg): 90.00 90.00 120.00
Fractional positions:
Er 0.022 0.333 0.106
Er 0.311 0.978 0.106
Er 0.333 0.311 0.894
Er 0.333 0.667 0.821
Er 0.667 0.333 0.179
Er 0.667 0.689 0.106
Er 0.689 0.022 0.894
Er 0.978 0.667 0.894
Tm 0.085 0.680 0.403
Tm 0.320 0.405 0.403
Tm 0.405 0.085 0.597
Tm 0.595 0.915 0.403
Tm 0.680 0.595 0.597
Tm 0.915 0.320 0.597
Sc 0.000 0.000 0.500

=====

[15]
The following is a PBE calculation of ZrCo6Re after structural relaxation, from Alexandria via LeMat-Bulk.

Output
Formation enthalpy at 0 K, meV/atom: -75.1
Magnetic moment, μB per formula unit: 0.8

a b c (Å): 6.310 6.310 10.341
angles (deg): 90.00 90.00 109.39
Fractional positions:
Zr 0.000 0.000 0.249
Zr 0.000 0.000 0.751
Zr 0.246 0.754 0.000
Zr 0.754 0.246 0.000
Co 0.000 0.000 0.000
Co 0.000 0.000 0.500
Co 0.130 0.387 0.381
Co 0.130 0.387 0.619
Co 0.138 0.383 0.132
Co 0.138 0.383 0.868
Co 0.257 0.743 0.261
Co 0.257 0.743 0.739
Co 0.383 0.138 0.132
Co 0.383 0.138 0.868
Co 0.387 0.130 0.381
Co 0.387 0.130 0.619
Co 0.500 0.500 0.000
Co 0.500 0.500 0.500
Co 0.613 0.870 0.381
Co 0.613 0.870 0.619
Co 0.617 0.862 0.132
Co 0.617 0.862 0.868
Co 0.743 0.257 0.261
Co 0.743 0.257 0.739
Co 0.862 0.617 0.132
Co 0.862 0.617 0.868
Co 0.870 0.613 0.381
Co 0.870 0.613 0.619
Re 0.244 0.756 0.500
Re 0.500 0.500 0.247
Re 0.500 0.500 0.753
Re 0.756 0.244 0.500

=====

[16]
The following is a PBE calculation of Dy2HoSc after structural relaxation, from Alexandria via LeMat-Bulk.

Output
Formation enthalpy at 0 K, meV/atom: 34.5
E above lowest polymorph, kcal/mol of atoms: 0.09
Magnetic moment, μB per formula unit: 0.0

a b c (Å): 11.307 11.307 11.307
angles (deg): 17.84 17.84 17.84
Fractional positions:
Dy 0.000 0.000 0.000
Dy 0.172 0.172 0.172
Ho 0.419 0.419 0.419
Sc 0.586 0.586 0.586

=====

[17]
The following is a PBE calculation of ZrGaIr3 after structural relaxation, from Alexandria via LeMat-Bulk.

Output
Formation enthalpy at 0 K, meV/atom: 1519.8
E above lowest polymorph, kcal/mol of atoms: 25.13
Magnetic moment, μB per formula unit: 0.0

a b c (Å): 4.888 4.888 4.888
angles (deg): 90.00 90.00 90.00
Fractional positions:
Zr 0.000 0.000 0.000
Ga 0.500 0.500 0.500
Ir 0.000 0.000 0.500
Ir 0.000 0.500 0.000
Ir 0.500 0.000 0.000

=====

[18]
The following is a PBE calculation of ErCd2Ag2Hg2 after structural relaxation, from Alexandria via LeMat-Bulk.

Output
Formation enthalpy at 0 K, meV/atom: -165.8
Magnetic moment, μB per formula unit: 0.0

a b c (Å): 8.412 8.412 8.412
angles (deg): 33.38 33.38 33.38
Fractional positions:
Er 0.000 0.000 0.000
Cd 0.134 0.134 0.134
Cd 0.866 0.866 0.866
Ag 0.255 0.255 0.255
Ag 0.745 0.745 0.745
Hg 0.394 0.394 0.394
Hg 0.606 0.606 0.606

=====

[19]
The following is a PBE calculation of HfV2Re after structural relaxation, from Alexandria via LeMat-Bulk.

Output
Formation enthalpy at 0 K, meV/atom: -115.7
E above lowest polymorph, kcal/mol of atoms: 0.00
Magnetic moment, μB per formula unit: 0.0

a b c (Å): 3.087 3.087 6.614
angles (deg): 90.00 90.00 90.00
Fractional positions:
Hf 0.000 0.000 0.000
V 0.500 0.500 0.279
V 0.500 0.500 0.721
Re 0.000 0.000 0.500

=====

[20]
The following is a PBE calculation of Zr8GaBi2 after structural relaxation, from Alexandria via LeMat-Bulk.

Output
Formation enthalpy at 0 K, meV/atom: -79.2
Magnetic moment, μB per formula unit: 0.0

a b c (Å): 7.837 7.837 5.523
angles (deg): 101.27 101.27 122.47
Fractional positions:
Zr 0.102 0.311 0.680
Zr 0.213 0.787 0.000
Zr 0.311 0.102 0.680
Zr 0.398 0.398 0.209
Zr 0.602 0.602 0.791
Zr 0.689 0.898 0.320
Zr 0.787 0.213 0.000
Zr 0.898 0.689 0.320
Ga 0.000 0.000 0.000
Bi 0.302 0.698 0.500
Bi 0.698 0.302 0.500

=====

[21]
The following is a PBE calculation of ZrTlSb2 after structural relaxation, from Alexandria via LeMat-Bulk.

Output
E above lowest polymorph, kcal/mol of atoms: 5.57
Magnetic moment, μB per formula unit: 0.0
Formation energy from raw total energies, meV/atom: -39

a b c (Å): 6.130 6.130 6.130
angles (deg): 138.03 138.03 60.86
Fractional positions:
Zr 0.000 0.000 0.000
Tl 0.750 0.250 0.500
Sb 0.250 0.750 0.500
Sb 0.500 0.500 0.000

=====

[22]
The following is a PBE calculation of MoRhI2N after structural relaxation, from Alexandria via LeMat-Bulk.

Output
E above lowest polymorph, kcal/mol of atoms: 0.00
Magnetic moment, μB per formula unit: 2.2
Formation energy from raw total energies, meV/atom: 773

a b c (Å): 5.543 5.543 3.784
angles (deg): 90.00 90.00 90.00
Fractional positions:
Mo 0.000 0.000 0.000
Rh 0.500 0.500 0.500
I 0.000 0.500 0.000
I 0.500 0.000 0.000
N 0.000 0.000 0.500

=====

[23]
The following is a PBE calculation of ThSiRh5 after structural relaxation, from Alexandria via LeMat-Bulk.

Output
Magnetic moment, μB per formula unit: 0.0
Formation energy from raw total energies, meV/atom: -633

a b c (Å): 4.087 4.087 6.896
angles (deg): 90.00 90.00 90.00
Fractional positions:
Th 0.000 0.000 0.000
Si 0.500 0.500 0.500
Rh 0.000 0.500 0.303
Rh 0.000 0.500 0.697
Rh 0.500 0.000 0.303
Rh 0.500 0.000 0.697
Rh 0.500 0.500 0.000

=====

[24]
The following is a PBE calculation of Li2ScNi after structural relaxation, from Alexandria via LeMat-Bulk.

Output
Formation enthalpy at 0 K, meV/atom: -29.9
E above lowest polymorph, kcal/mol of atoms: 1.54
Magnetic moment, μB per formula unit: 0.0

a b c (Å): 4.467 4.467 4.467
angles (deg): 120.39 120.39 89.33
Fractional positions:
Li 0.000 0.000 0.000
Li 0.750 0.250 0.500
Sc 0.500 0.500 0.000
Ni 0.250 0.750 0.500

=====

| no. | Fermi-level density of states (states/eV per cell) | final energy (eV per atom) | ρ (g cm⁻³) |
| --- | --- | --- | --- |
| 1 | 5.8 | -4.159 | 5.07 |
| 2 | 7.9 | -9.448 | 17.80 |
| 3 | 4.0 | -3.169 | 2.72 |
| 4 | 1.6 | -2.870 | 6.33 |
| 5 | 3.1 | -7.537 | 12.23 |
| 6 | 1.7 | -3.323 | 3.91 |
| 7 | 4.1 | -5.771 | 7.57 |
| 8 | 1.0 | -5.679 | 6.77 |
| 9 | 7.6 | -4.653 | 5.99 |
| 10 | 12.4 | -7.873 | 14.59 |
| 11 | 4.7 | -5.930 | 4.72 |
| 12 | 3.1 | -6.692 | 3.92 |
| 13 | 10.2 | -5.530 | 7.75 |
| 14 | 24.0 | -4.374 | 8.42 |
| 15 | 32.8 | -8.029 | 10.79 |
| 16 | 6.1 | -4.994 | 7.50 |
| 17 | 4.9 | -6.112 | 10.48 |
| 18 | 3.2 | -1.980 | 10.44 |
| 19 | 5.6 | -10.275 | 12.30 |
| 20 | 8.4 | -7.277 | 7.73 |
| 21 | 3.1 | -4.829 | 8.79 |
| 22 | 5.6 | -5.148 | 6.66 |
| 23 | 5.3 | -7.719 | 11.17 |
| 24 | 2.4 | -4.015 | 3.11 |